# 1
This record from the Alexandria database describes ZnS3Br after structural relaxation. The functional is PBE.

Cell and atoms, written as POSCAR:
```
ZnS3Br
1.0
4.705 0.000 0.000
0.000 4.705 0.000
0.000 0.000 4.705
S Zn Br
3 1 1
Direct
0.500 0.000 0.000
0.000 0.000 0.500
0.000 0.500 0.000
0.000 0.000 0.000
0.500 0.500 0.500
```

## Properties
energy relative to the lowest polymorph listed for this composition	96.4	kJ/mol of atoms
SG	Pm-3m, No. 221
electronic total energy	-11.61	eV for the cell shown
total magnetization	0.000	μB/atom


# 2
This record from the Alexandria database describes LuCuAgGe after structural relaxation. The functional is PBE.

Cell and atoms, written as POSCAR:
```
LuCuAgGe
1.0
4.672 0.000 0.000
2.336 4.046 0.000
2.336 1.349 3.814
Cu Ge Ag Lu
1 1 1 1
Direct
0.250 0.250 0.250
0.750 0.750 0.750
0.500 0.500 0.500
0.000 0.000 0.000
```

## Properties
DFT formation energy	-246	meV/atom
SG	F-43m, No. 216
electronic total energy	-17.07	eV for the cell shown
total magnetization	0.000	μB/atom


no.,V (Å³ per atom)
1,20.829
2,18.025